1.
# SmTm2Th

Crystalline SmTm2Th at its relaxed geometry (PBE, Alexandria via LeMat-Bulk).

## Properties
Its formation energy is 0.04 eV/atom. As for the crystal system: triclinic. The density of states at the Fermi level comes out at 6.04 states/eV/f.u. The value obtained for the offset from the most stable computed form is 22 meV per atom.

Structure (POSCAR):
```
SmTm2Th
1.0
3.283 0.411 -1.262
0.670 6.629 -1.100
0.518 0.806 11.552
Sm Th Tm
2 2 4
Direct
0.902 0.793 0.818
0.610 0.312 0.785
0.367 0.797 0.284
0.146 0.308 0.318
0.756 0.560 0.056
0.487 0.095 0.053
0.757 0.545 0.547
0.025 0.010 0.549
```


2.
# YHfTi3

Crystalline YHfTi3 at its relaxed geometry (PBE, Alexandria via LeMat-Bulk).

## Properties
Its formation energy is 0.83 eV/atom. As for the crystal system: cubic. The density of states at the Fermi level comes out at 9.80 states/eV/f.u. The value obtained for the offset from the most stable computed form is 0 meV per atom.

Structure (POSCAR):
```
YHfTi3
1.0
-3.856 2.642 -1.584
-1.674 0.332 4.631
2.585 4.155 0.637
Y Hf Ti
1 1 3
Direct
0.500 0.500 0.500
0.000 0.000 0.000
0.000 0.000 0.500
0.500 0.000 0.000
0.000 0.500 0.000
```


offset from the most stable computed form of number 1 (SmTm2Th)?
22 meV per atom


Repeat the second record exactly.
# YHfTi3

Crystalline YHfTi3 at its relaxed geometry (PBE, Alexandria via LeMat-Bulk).

## Properties
Its formation energy is 0.83 eV/atom. As for the crystal system: cubic. The density of states at the Fermi level comes out at 9.80 states/eV/f.u. The value obtained for the offset from the most stable computed form is 0 meV per atom.

Structure (POSCAR):
```
YHfTi3
1.0
-3.856 2.642 -1.584
-1.674 0.332 4.631
2.585 4.155 0.637
Y Hf Ti
1 1 3
Direct
0.500 0.500 0.500
0.000 0.000 0.000
0.000 0.000 0.500
0.500 0.000 0.000
0.000 0.500 0.000
```